[1]
Material: MnZnNiOs
Method: DFT, PBE
State: optimized geometry

Calculated values
magnetization: 0.70 μB/atom
calculated density: 11.9 Mg/m³
E_form: 0.37 eV per formula unit

abc: 5.903 5.903 5.903
angles: 90.00 90.00 90.00
Space group F-43m (No. 216)
Unique sites:
Mn  0.000  0.000  0.000 x4
Zn  0.000  0.000  0.500 x4
Ni  0.250  0.250  0.750 x4
Os  0.250  0.250  0.250 x4



[2]
Material: ZrMnNiOs2
Method: DFT, PBE
State: optimized geometry

Calculated values
magnetization: 0.14 μB/atom
calculated density: 10.8 Mg/m³
E_form: 5.77 eV per formula unit

abc: 4.394 4.394 4.659
angles: 90.00 90.00 90.00
Space group P4/mmm (No. 123)
Unique sites:
Zr  0.000  0.000  0.000 x1
Mn  0.000  0.000  0.500 x1
Ni  0.500  0.500  0.000 x1
Os  0.000  0.500  0.500 x2



[3]
Material: Mn3NiP
Method: DFT, PBE
State: optimized geometry

Calculated values
magnetization: 0.00 μB/atom
calculated density: 6.3 Mg/m³
distance to the lowest polymorph of the same formula: 0 meV per atom
E_form: 3.53 eV per formula unit

abc: 4.065 4.065 4.065
angles: 90.00 90.00 90.00
Space group Pm-3m (No. 221)
Unique sites:
Mn  0.000  0.000  0.500 x3
Ni  0.500  0.500  0.500 x1
P  0.000  0.000  0.000 x1



[4]
Material: MnNi4P
Method: DFT, PBE
State: optimized geometry

Calculated values
magnetization: 0.75 μB/atom
calculated density: 7.4 Mg/m³
E_form: 0.81 eV per formula unit

abc: 6.612 6.612 6.612
angles: 90.00 90.00 90.00
Space group F-43m (No. 216)
Unique sites:
Mn  0.000  0.000  0.000 x4
Ni  0.125  0.125  0.625 x16
P  0.250  0.250  0.250 x4